! Tc2Rh | Alexandria via LeMat-Bulk | PBE-GGA | optimized geometry; values from VASP
&SYSTEM
  ibrav = 0, nat = 12, ntyp = 2
/
ATOMIC_SPECIES
Rh 102.91 Rh.upf
Tc 98.00 Tc.upf
CELL_PARAMETERS angstrom
-2.694 -3.042 0.795
4.845 -0.056 16.201
-1.903 1.836 0.576
ATOMIC_POSITIONS crystal
Rh 0.250 0.616 0.000
Rh 0.750 0.384 0.000
Rh 0.250 0.884 0.500
Rh 0.750 0.116 0.500
Tc 0.250 0.035 0.000
Tc 0.250 0.188 0.000
Tc 0.750 0.812 0.000
Tc 0.750 0.965 0.000
Tc 0.250 0.312 0.500
Tc 0.250 0.465 0.500
Tc 0.750 0.535 0.500
Tc 0.750 0.688 0.500
! Distance to the lowest polymorph of the same formula: 454.3 meV/atom
! Space group: No. 74
! Energy relative to the elements: 0.34 eV per atom
! Total magnetic moment: 0.00 μB per formula unit
! Volume: 189.50 Å³/cell



! SrPr2Cd9 | Alexandria via LeMat-Bulk | PBE-GGA | optimized geometry; values from VASP
&SYSTEM
  ibrav = 0, nat = 12, ntyp = 3
/
ATOMIC_SPECIES
Sr 87.62 Sr.upf
Pr 140.91 Pr.upf
Cd 112.41 Cd.upf
CELL_PARAMETERS angstrom
-2.757 -5.349 1.097
0.462 -4.565 -4.045
7.163 -6.472 3.497
ATOMIC_POSITIONS crystal
Sr 0.000 0.000 0.000
Pr 0.858 0.858 0.427
Pr 0.142 0.142 0.573
Cd 0.665 0.665 0.006
Cd 0.335 0.335 0.994
Cd 0.500 0.500 0.500
Cd 0.411 0.411 0.255
Cd 0.923 0.411 0.255
Cd 0.411 0.923 0.255
Cd 0.589 0.589 0.745
Cd 0.589 0.077 0.745
Cd 0.077 0.589 0.745
! Space group: No. 166
! Energy relative to the elements: -0.26 eV per atom
! Total magnetic moment: 0.00 μB per formula unit
! Volume: 312.43 Å³/cell